1.
A relaxed structure of LaInRe2Pb. Source: Alexandria via LeMat-Bulk, functional PBE.

Unit cell a=5.0548 b=5.3980 c=5.0548 alpha=90.00 beta=90.00 gamma=90.00
Closest atoms and distances in Å follow each position.
Element x y z (fractional)
Pb 0.0000 0.5000 0.0000  2 In 2.70
Re 0.0000 0.0000 0.5000  2 In 2.53
Re 0.5000 0.0000 0.0000  2 In 2.53
In 0.0000 0.0000 0.0000  4 Re 2.53, 2 Pb 2.70
La 0.5000 0.5000 0.5000  4 Pb 3.57, 8 Re 3.70

The relative energy among the computed polymorphs comes out at 0 meV per atom. The value obtained for the spin magnetization is 2.5 μB per cell. Its formation energy from the elements is 1640 meV/atom. As for the crystal system: tetragonal. As for the density of states at the Fermi level: 5.2 states/eV/f.u.


2.
A relaxed structure of ZnTeSe. Source: Alexandria via LeMat-Bulk, functional PBE.

Unit cell a=4.2638 b=4.3348 c=5.6609 alpha=105.82 beta=110.97 gamma=97.27
Closest atoms and distances in Å follow each position.
Element x y z (fractional)
Zn 0.3750 0.8779 0.7347  2 Se 2.43-2.63, 1 Te 2.65
Te 0.0068 0.2536 0.4830  2 Zn 2.65-2.73, 1 Se 2.67
Se 0.9976 0.1003 0.9897  2 Zn 2.43-2.63, 1 Te 2.67

The relative energy among the computed polymorphs comes out at 133 meV per atom. The value obtained for the spin magnetization is 0.0 μB per cell. As for the crystal system: triclinic. As for the density of states at the Fermi level: 0.5 states/eV/f.u. The calculation puts the formation energy from raw total energies at -210 meV per atom.


3.
A relaxed structure of B7C3. Source: Alexandria via LeMat-Bulk, functional PBE.

Unit cell a=4.5349 b=4.5349 c=6.6853 alpha=113.05 beta=113.05 gamma=34.12
Closest atoms and distances in Å follow each position.
Element x y z (fractional)
B 0.0311 0.0311 0.0125  1 C 1.63
B 0.2546 0.2546 0.0528  2 C 1.65, 2 B 1.73-1.84
B 0.1399 0.1399 0.7721  2 C 1.60, 1 B 1.73
B 0.3690 0.3690 0.8694  5 B 1.69-1.89
B 0.3768 0.3768 0.6211  1 C 1.62, 1 B 1.69
B 0.5937 0.5937 0.4149  3 C 1.57-1.66
B 0.8040 0.8040 0.4133  1 C 1.52
C 0.5669 0.5669 0.6334  4 B 1.57-1.62
C 0.8365 0.8365 0.2063  3 B 1.52-1.65, 1 C 1.55
C 0.0276 0.0276 0.2541  1 C 1.55, 3 B 1.63-1.66

The relative energy among the computed polymorphs comes out at 194 meV per atom. The value obtained for the spin magnetization is 0.0 μB per cell. Its formation energy from the elements is 486 meV/atom. As for the crystal system: monoclinic. As for the density of states at the Fermi level: 2.3 states/eV/f.u.


4.
A relaxed structure of Nd2DyScSe6. Source: Alexandria via LeMat-Bulk, functional PBE.

Unit cell a=7.2597 b=7.2595 c=7.6432 alpha=61.66 beta=61.66 gamma=60.00
Closest atoms and distances in Å follow each position.
Element x y z (fractional)
Nd 0.5223 0.5223 0.4332  6 Se 2.95-3.02
Nd 0.0207 0.0207 0.9380  6 Se 2.93-3.03
Dy 0.8191 0.8193 0.5423  6 Se 2.82-2.89
Sc 0.3214 0.3212 0.0360  6 Se 2.72-2.75
Se 0.5885 0.2023 0.2565  1 Sc 2.72, 1 Dy 2.89, 2 Nd 2.95-3.03
Se 0.2023 0.9526 0.2565  1 Sc 2.72, 1 Dy 2.89, 2 Nd 2.95-3.03
Se 0.9527 0.5885 0.2565  1 Sc 2.72, 1 Dy 2.89, 2 Nd 2.95-3.03
Se 0.4381 0.6926 0.7654  1 Sc 2.75, 1 Dy 2.83, 2 Nd 2.93-3.02
Se 0.6926 0.1039 0.7654  1 Sc 2.75, 1 Dy 2.82, 2 Nd 2.93-3.02
Se 0.1039 0.4382 0.7654  1 Sc 2.75, 1 Dy 2.83, 2 Nd 2.93-3.02

The value obtained for the spin magnetization is 0.0 μB per cell. As for the crystal system: trigonal. As for the density of states at the Fermi level: 0.0 states/eV/f.u. The calculation puts the formation energy from raw total energies at -1790 meV per atom.


5.
A relaxed structure of KSiMo2. Source: Alexandria via LeMat-Bulk, functional PBE.

Unit cell a=3.2346 b=4.7586 c=4.6685 alpha=90.00 beta=90.00 gamma=90.00
Closest atoms and distances in Å follow each position.
Element x y z (fractional)
K 0.0000 0.5000 0.5000  4 Mo 2.84, 4 Si 2.88
Mo 0.0000 0.0000 0.0000  4 Si 2.84, 4 Mo 2.88
Mo 0.5000 0.5000 0.0000  4 K 2.84, 4 Mo 2.88
Si 0.5000 0.0000 0.5000  4 Mo 2.84, 4 K 2.88

The value obtained for the spin magnetization is 0.4 μB per cell. As for the crystal system: orthorhombic. As for the density of states at the Fermi level: 3.6 states/eV/f.u. The calculation puts the formation energy from raw total energies at 1369 meV per atom.


6.
A relaxed structure of ZrInBr2. Source: Alexandria via LeMat-Bulk, functional PBE.

Unit cell a=5.5923 b=5.5923 c=3.3731 alpha=90.00 beta=90.00 gamma=107.87
Closest atoms and distances in Å follow each position.
Element x y z (fractional)
Br 0.0000 0.0000 0.0000  4 Zr 3.27, 4 In 3.27, 4 Br 3.29-3.37
Br 0.5000 0.5000 0.0000  4 In 3.27, 4 Zr 3.27, 4 Br 3.29-3.37
Zr 0.0000 0.5000 0.5000  8 Br 3.27, 2 In 3.29, 2 Zr 3.37
In 0.5000 0.0000 0.5000  8 Br 3.27, 2 Zr 3.29, 2 In 3.37

The relative energy among the computed polymorphs comes out at 641 meV per atom. The value obtained for the spin magnetization is 0.0 μB per cell. As for the crystal system: orthorhombic. As for the density of states at the Fermi level: 3.7 states/eV/f.u. The calculation puts the formation energy from raw total energies at -120 meV per atom.